Computed, not measured: Cs2K2Hg3 after structural relaxation at the PBE level of DFT.

Summary:
**Space-group type**: C2/m
**DOS at the Fermi energy**: 3.94 states/eV/f.u.

Cell lengths 5.343, 7.088, 10.092 Å; angles 98.55, 105.35, 90.00 degrees
Sites, in units of the cell vectors:
1 Cs 0.352 0.924 0.703
2 Cs 0.648 0.076 0.297
3 K 0.102 0.561 0.203
4 K 0.898 0.439 0.797
5 Hg 0.000 0.000 0.000
6 Hg 0.268 0.400 0.536
7 Hg 0.732 0.600 0.464

Computed, not measured: SrCa2Ta after structural relaxation at the PBE level of DFT.

Summary:
**E above lowest polymorph**: 16.4 kJ per mole of atoms
**Space-group type**: I4/mmm
**DOS at the Fermi energy**: 3.25 states/eV/f.u.

Cell lengths 6.214, 6.214, 6.214 Å; angles 130.86, 130.86, 72.03 degrees
Sites, in units of the cell vectors:
1 Sr 0.250 0.750 0.500
2 Ca 0.000 0.000 0.000
3 Ca 0.500 0.500 0.000
4 Ta 0.750 0.250 0.500

Number 1: ΔE_f -1.32 eV/f.u.. Number 2: ΔE_f 3.17 eV/f.u..